Entry 1:
Entry from the Alexandria database: a relaxed SmHoAlHg crystal (PBE).

Summary:
The value obtained for the formation energy from the elements is -0.4316 eV/atom. The crystal system is tetragonal. As for the space-group type: P4mm, No. 99. The polymorph energy (0 for the lowest one) is 0 meV/atom. As for the calculated density: 8.95 Mg/m³. The total moment comes out at 0.00 μB/atom.

Cell: 3.614 3.614 7.707 Å, 90.00 90.00 90.00°
Fractional positions:
Sm (0.000, 0.000, 0.000)
Ho (0.000, 0.000, 0.521)
Al (0.500, 0.500, 0.754)
Hg (0.500, 0.500, 0.277)

***

Entry 2:
Entry from the Alexandria database: a relaxed Ni2GeAu crystal (PBE).

Summary:
The value obtained for the formation energy from the elements is -0.0897 eV/atom. The crystal system is trigonal. As for the space-group type: R-3m, No. 166. The polymorph energy (0 for the lowest one) is 28 meV/atom. As for the calculated density: 11.32 Mg/m³. The total moment comes out at 0.00 μB/atom.

Cell: 4.001 4.001 12.286 Å, 90.00 90.00 120.00°
Fractional positions:
Ni (0.000, 0.000, 0.220)
Ni (0.000, 0.000, 0.780)
Ni (0.333, 0.667, 0.447)
Ni (0.333, 0.667, 0.886)
Ni (0.667, 0.333, 0.114)
Ni (0.667, 0.333, 0.553)
Ge (0.000, 0.000, 0.500)
Ge (0.333, 0.667, 0.167)
Ge (0.667, 0.333, 0.833)
Au (0.000, 0.000, 0.000)
Au (0.333, 0.667, 0.667)
Au (0.667, 0.333, 0.333)

***

Entry 3:
Entry from the Alexandria database: a relaxed La2PmPaRu2 crystal (PBE).

Summary:
The value obtained for the formation energy from the elements is -0.3074 eV/atom. The crystal system is orthorhombic. As for the space-group type: Ibam, No. 72. As for the calculated density: 8.51 Mg/m³. The total moment comes out at 0.00 μB/atom.

Cell: 8.355 8.355 8.355 Å, 129.33 73.42 130.66°
Fractional positions:
La (0.195, 0.218, 0.413)
La (0.305, 0.718, 0.023)
La (0.695, 0.282, 0.977)
La (0.805, 0.782, 0.587)
Pm (0.250, 0.750, 0.500)
Pm (0.750, 0.250, 0.500)
Pa (0.250, 0.250, 0.000)
Pa (0.750, 0.750, 0.000)
Ru (0.095, 0.793, 0.887)
Ru (0.405, 0.293, 0.698)
Ru (0.595, 0.707, 0.302)
Ru (0.905, 0.207, 0.113)

***

Entry 4:
Entry from the Alexandria database: a relaxed NiSbSe2 crystal (PBE).

Summary:
The crystal system is orthorhombic. As for the space-group type: Amm2, No. 38. Its raw formation energy is -144 meV/atom. As for the calculated density: 6.78 Mg/m³. The total moment comes out at 0.00 μB/atom.

Cell: 3.783 5.093 8.598 Å, 90.00 90.00 90.00°
Fractional positions:
Ni (0.000, 0.000, 0.000)
Ni (0.000, 0.500, 0.500)
Sb (0.500, 0.000, 0.206)
Sb (0.500, 0.500, 0.706)
Se (0.000, 0.000, 0.476)
Se (0.000, 0.500, 0.976)
Se (0.500, 0.000, 0.827)
Se (0.500, 0.500, 0.327)

***

Entry 5:
Entry from the Alexandria database: a relaxed ZrSN2Cl crystal (PBE).

Summary:
The crystal system is tetragonal. As for the space-group type: P4/mmm, No. 123. Its raw formation energy is 1288 meV/atom. The polymorph energy (0 for the lowest one) is 630 meV/atom. As for the calculated density: 4.61 Mg/m³. The total moment comes out at 0.00 μB/atom.

Cell: 3.910 3.910 4.400 Å, 90.00 90.00 90.00°
Fractional positions:
Zr (0.000, 0.000, 0.000)
S (0.500, 0.500, 0.000)
N (0.000, 0.500, 0.500)
N (0.500, 0.000, 0.500)
Cl (0.500, 0.500, 0.500)

***

Entry 6:
Entry from the Alexandria database: a relaxed PmZn2I6 crystal (PBE).

Summary:
The crystal system is monoclinic. As for the space-group type: C2/c, No. 15. Its raw formation energy is -764 meV/atom. As for the calculated density: 4.72 Mg/m³. The total moment comes out at 0.00 μB/atom.

Cell: 9.948 9.948 7.578 Å, 98.09 98.09 82.02°
Fractional positions:
Pm (0.082, 0.918, 0.750)
Pm (0.918, 0.082, 0.250)
Zn (0.231, 0.405, 0.698)
Zn (0.405, 0.231, 0.198)
Zn (0.595, 0.769, 0.802)
Zn (0.769, 0.595, 0.302)
I (0.041, 0.218, 0.632)
I (0.131, 0.632, 0.890)
I (0.218, 0.041, 0.132)
I (0.285, 0.453, 0.381)
I (0.368, 0.869, 0.610)
I (0.453, 0.285, 0.881)
I (0.547, 0.715, 0.119)
I (0.632, 0.131, 0.390)
I (0.715, 0.547, 0.619)
I (0.782, 0.959, 0.868)
I (0.869, 0.368, 0.110)
I (0.959, 0.782, 0.368)

***

Entry 7:
Entry from the Alexandria database: a relaxed CoTcRu crystal (PBE).

Summary:
The value obtained for the formation energy from the elements is 0.0778 eV/atom. The crystal system is orthorhombic. As for the space-group type: Imm2, No. 44. The polymorph energy (0 for the lowest one) is 0 meV/atom. As for the calculated density: 10.88 Mg/m³. The total moment comes out at 0.38 μB/atom.

Cell: 2.677 3.722 7.905 Å, 90.00 90.00 90.00°
Fractional positions:
Co (0.000, 0.000, 0.000)
Co (0.500, 0.500, 0.500)
Tc (0.000, 0.000, 0.335)
Tc (0.500, 0.500, 0.835)
Ru (0.000, 0.000, 0.664)
Ru (0.500, 0.500, 0.164)

***

Entry 8:
Entry from the Alexandria database: a relaxed Y2NpGe3Pt4 crystal (PBE).

Summary:
The value obtained for the formation energy from the elements is -0.7784 eV/atom. The crystal system is tetragonal. As for the space-group type: P-4m2, No. 115. As for the calculated density: 11.56 Mg/m³. The total moment comes out at 0.42 μB/atom.

Cell: 4.243 4.243 11.270 Å, 90.00 90.00 90.00°
Fractional positions:
Y (0.000, 0.500, 0.221)
Y (0.500, 0.000, 0.779)
Np (0.000, 0.000, 0.500)
Ge (0.000, 0.500, 0.874)
Ge (0.500, 0.000, 0.126)
Ge (0.500, 0.500, 0.500)
Pt (0.000, 0.000, 0.000)
Pt (0.000, 0.500, 0.659)
Pt (0.500, 0.000, 0.341)
Pt (0.500, 0.500, 0.000)

***

Entry 9:
Entry from the Alexandria database: a relaxed ZnAgIrBr2 crystal (PBE).

Summary:
The crystal system is tetragonal. As for the space-group type: P4/mmm, No. 123. Its raw formation energy is 1207 meV/atom. As for the calculated density: 6.09 Mg/m³. The total moment comes out at 0.62 μB/atom.

Cell: 5.351 5.351 5.003 Å, 90.00 90.00 90.00°
Fractional positions:
Zn (0.000, 0.000, 0.000)
Ag (0.000, 0.000, 0.500)
Ir (0.500, 0.500, 0.000)
Br (0.000, 0.500, 0.500)
Br (0.500, 0.000, 0.500)

***

Entry 10:
Entry from the Alexandria database: a relaxed ThAs4Rh6 crystal (PBE).

Summary:
The value obtained for the formation energy from the elements is -0.6945 eV/atom. The crystal system is hexagonal. As for the space-group type: P-6m2, No. 187. As for the calculated density: 10.67 Mg/m³. The total moment comes out at 0.00 μB/atom.

Cell: 7.254 7.254 3.924 Å, 90.00 90.00 120.00°
Fractional positions:
Th (0.000, 0.000, 0.000)
As (0.333, 0.667, 0.000)
As (0.386, 0.193, 0.500)
As (0.807, 0.193, 0.500)
As (0.807, 0.614, 0.500)
Rh (0.196, 0.391, 0.500)
Rh (0.196, 0.804, 0.500)
Rh (0.532, 0.065, 0.000)
Rh (0.532, 0.468, 0.000)
Rh (0.609, 0.804, 0.500)
Rh (0.935, 0.468, 0.000)

***

Entry 11:
Entry from the Alexandria database: a relaxed Cr2TeCl crystal (PBE).

Summary:
The crystal system is orthorhombic. As for the space-group type: Immm, No. 71. Its raw formation energy is 110 meV/atom. The polymorph energy (0 for the lowest one) is 165 meV/atom. As for the calculated density: 4.93 Mg/m³. The total moment comes out at 2.25 μB/atom.

Cell: 4.069 6.134 7.205 Å, 90.00 90.00 90.00°
Fractional positions:
Cr (0.000, 0.000, 0.226)
Cr (0.000, 0.000, 0.774)
Cr (0.500, 0.500, 0.274)
Cr (0.500, 0.500, 0.726)
Te (0.000, 0.500, 0.000)
Te (0.500, 0.000, 0.500)
Cl (0.000, 0.500, 0.500)
Cl (0.500, 0.000, 0.000)

***

Entry 12:
Entry from the Alexandria database: a relaxed CsNaPb2 crystal (PBE).

Summary:
The value obtained for the formation energy from the elements is -0.1272 eV/atom. The crystal system is orthorhombic. As for the space-group type: Pnma, No. 62. The polymorph energy (0 for the lowest one) is 0 meV/atom. As for the calculated density: 5.75 Mg/m³. The total moment comes out at 0.00 μB/atom.

Cell: 9.610 8.390 8.169 Å, 90.00 90.00 90.00°
Fractional positions:
Cs (0.018, 0.250, 0.117)
Cs (0.482, 0.750, 0.617)
Cs (0.518, 0.250, 0.383)
Cs (0.982, 0.750, 0.883)
Na (0.151, 0.750, 0.331)
Na (0.349, 0.250, 0.831)
Na (0.651, 0.750, 0.169)
Na (0.849, 0.250, 0.669)
Pb (0.147, 0.068, 0.558)
Pb (0.147, 0.432, 0.558)
Pb (0.353, 0.568, 0.058)
Pb (0.353, 0.932, 0.058)
Pb (0.647, 0.068, 0.942)
Pb (0.647, 0.432, 0.942)
Pb (0.853, 0.568, 0.442)
Pb (0.853, 0.932, 0.442)

***

Question: Look up the calculated density of the eighth one.
Answer: 11.56 Mg/m³